{"formula": "Mn13Al4Si2Sb2O28", "functional": "PBE with a Hubbard U", "state": "optimized geometry", "cell": [[2.828, -11.629, 0.000], [2.828, 11.629, 0.000], [-1.704, 0.000, 9.044]], "species": ["Mn", "Mn", "Mn", "Mn", "Mn", "Mn", "Mn", "Mn", "Mn", "Mn", "Mn", "Mn", "Mn", "Al", "Al", "Al", "Al", "Si", "Si", "Sb", "Sb", "O", "O", "O", "O", "O", "O", "O", "O", "O", "O", "O", "O", "O", "O", "O", "O", "O", "O", "O", "O", "O", "O", "O", "O", "O", "O", "O", "O"], "frac_coords": [[0.000, 0.000, 0.000], [0.071, 0.364, 0.644], [0.206, 0.347, 0.350], [0.287, 0.713, 0.000], [0.347, 0.206, 0.350], [0.364, 0.071, 0.644], [0.427, 0.573, 0.000], [0.573, 0.427, 0.000], [0.636, 0.929, 0.356], [0.653, 0.794, 0.650], [0.713, 0.287, 0.000], [0.794, 0.653, 0.650], [0.929, 0.636, 0.356], [0.046, 0.477, 0.317], [0.477, 0.046, 0.317], [0.523, 0.954, 0.683], [0.954, 0.523, 0.683], [0.237, 0.237, 0.689], [0.763, 0.763, 0.311], [0.141, 0.859, 0.000], [0.859, 0.141, 0.000], [0.019, 0.604, 0.883], [0.020, 0.324, 0.401], [0.057, 0.057, 0.350], [0.116, 0.271, 0.115], [0.118, 0.408, 0.880], [0.195, 0.647, 0.649], [0.271, 0.116, 0.115], [0.286, 0.403, 0.620], [0.316, 0.316, 0.871], [0.324, 0.020, 0.401], [0.353, 0.805, 0.351], [0.396, 0.981, 0.117], [0.403, 0.286, 0.620], [0.408, 0.118, 0.880], [0.592, 0.882, 0.120], [0.597, 0.714, 0.380], [0.604, 0.019, 0.883], [0.647, 0.195, 0.649], [0.676, 0.980, 0.599], [0.684, 0.684, 0.129], [0.714, 0.597, 0.380], [0.729, 0.884, 0.885], [0.805, 0.353, 0.351], [0.882, 0.592, 0.120], [0.884, 0.729, 0.885], [0.943, 0.943, 0.650], [0.980, 0.676, 0.599], [0.981, 0.396, 0.117]], "total_magnetization_mub_per_atom": 1.3265, "space_group": "C2/m", "final_energy_ev_per_atom": -7.60}